AlAg2Ge: optimized geometry, PBE.

Unit cell a=7.532 b=7.532 c=5.525 alpha=90.00 beta=90.00 gamma=90.00
Space group I-42d (No. 122)
Unique sites:
Al: 0.000 0.000 0.000 x4
Ag: 0.239 0.250 0.125 x8
Ge: 0.000 0.000 0.500 x4

* ΔH_f (0 K): 305 meV/atom
* energy: -51.367 eV per cell
* calculated volume: 19.6 A^3/atom
* magnetization: 0.00 μB/cell

=====

AlAg2Ge2: optimized geometry, PBE.

Unit cell a=3.745 b=3.745 c=14.081 alpha=90.00 beta=90.00 gamma=90.00
Space group I4/mmm (No. 139)
Unique sites:
Al: 0.000 0.000 0.000 x2
Ag: 0.000 0.000 0.404 x4
Ge: 0.000 0.500 0.250 x4

* ΔH_f (0 K): 294 meV/atom
* energy: -34.424 eV per cell
* energy above the most stable polymorph in this dataset: 24 meV/atom
* calculated volume: 19.8 A^3/atom
* magnetization: 0.00 μB/cell